Material: TlV2AgO6
Method: DFT, PBE with a Hubbard U
State: optimized geometry

Cell lengths 8.0886, 8.0886, 5.9298 Å; angles 101.79, 101.79, 93.40 degrees
Sites, in units of the cell vectors:
Tl 0.1133 0.8867 0.7500
Tl 0.8867 0.1133 0.2500
V 0.2325 0.3868 0.8102
V 0.3868 0.2325 0.3102
V 0.6132 0.7675 0.6898
V 0.7675 0.6132 0.1898
Ag 0.2445 0.7555 0.2500
Ag 0.7555 0.2445 0.7500
O 0.0559 0.2471 0.7268
O 0.1790 0.5860 0.8915
O 0.2471 0.0559 0.2268
O 0.3309 0.3731 0.5573
O 0.3731 0.3309 0.0573
O 0.4140 0.8210 0.6085
O 0.5860 0.1790 0.3915
O 0.6269 0.6691 0.9427
O 0.6691 0.6269 0.4427
O 0.7529 0.9441 0.7732
O 0.8210 0.4140 0.1085
O 0.9441 0.7529 0.2732

Summary:
ΔE to the lowest computed polymorph (eV per atom): 0.014
Crystal system: monoclinic
Total energy (eV/atom): -6.45